The following is a PBE-GGA calculation of an optimized crystal structure of UPbO4, from Alexandria via LeMat-Bulk.

Energy above the most stable polymorph in this dataset ... 0.0 meV per atom
E_tot ... -8.31 eV/atom
Crystal system ... orthorhombic

```
data_UPbO4
_chemical_formula_sum 'U4 Pb4 O16'
_cell_length_a 5.689
_cell_length_b 8.036
_cell_length_c 8.291
_cell_angle_alpha 90.00
_cell_angle_beta 90.00
_cell_angle_gamma 90.00
_symmetry_space_group_name_H-M 'P b c m'
_symmetry_Int_Tables_number 57
loop_
_symmetry_equiv_pos_as_xyz
'x,y,z'
'-x,-y,-z'
'-x,-y,z+1/2'
'x,y,-z+1/2'
'x,-y+1/2,-z'
'-x,y+1/2,z'
'-x,y+1/2,-z+1/2'
'x,-y+1/2,z+1/2'
loop_
_atom_site_label
_atom_site_type_symbol
_atom_site_fract_x
_atom_site_fract_y
_atom_site_fract_z
U1 U 0.000 0.000 0.000
Pb1 Pb 0.488 0.204 0.250
O1 O 0.131 0.038 0.250
O2 O 0.151 0.750 0.000
O3 O 0.296 0.085 0.578
```

---

The following is a PBE-GGA calculation of an optimized crystal structure of UPbO, from Alexandria via LeMat-Bulk.

E_tot ... -7.87 eV/atom
Crystal system ... tetragonal

```
data_UPbO
_chemical_formula_sum 'U4 Pb4 O4'
_cell_length_a 3.849
_cell_length_b 3.849
_cell_length_c 17.207
_cell_angle_alpha 90.00
_cell_angle_beta 90.00
_cell_angle_gamma 90.00
_symmetry_space_group_name_H-M 'I 4/m m m'
_symmetry_Int_Tables_number 139
_symmetry_space_group_name_Hall '-I 4 2'
loop_
_atom_site_label
_atom_site_type_symbol
_atom_site_fract_x
_atom_site_fract_y
_atom_site_fract_z
U1 U 0.000 0.000 0.080
Pb1 Pb 0.000 0.000 0.298
O1 O 0.000 0.500 0.000
```

---

The following is a PBE-GGA calculation of an optimized crystal structure of UPbO4, from Alexandria via LeMat-Bulk.

Energy above the most stable polymorph in this dataset ... 64.8 meV per atom
E_tot ... -8.24 eV/atom
Crystal system ... orthorhombic

```
data_UPbO4
_chemical_formula_sum 'U4 Pb4 O16'
_cell_length_a 6.554
_cell_length_b 3.780
_cell_length_c 14.798
_cell_angle_alpha 90.00
_cell_angle_beta 90.00
_cell_angle_gamma 90.00
_symmetry_space_group_name_H-M 'P n m a'
_symmetry_Int_Tables_number 62
loop_
_symmetry_equiv_pos_as_xyz
'x,y,z'
'-x,-y,-z'
'-x+1/2,-y,z+1/2'
'x+1/2,y,-z+1/2'
'x+1/2,-y+1/2,-z+1/2'
'-x+1/2,y+1/2,z+1/2'
'-x,y+1/2,-z'
'x,-y+1/2,z'
loop_
_atom_site_label
_atom_site_type_symbol
_atom_site_fract_x
_atom_site_fract_y
_atom_site_fract_z
U1 U 0.092 0.250 0.107
Pb1 Pb 0.090 0.750 0.349
O1 O 0.055 0.250 0.951
O2 O 0.125 0.750 0.569
O3 O 0.161 0.750 0.822
O4 O 0.189 0.750 0.183
```